(1)
First-principles (PBE) data for crystalline Ta2MnPb at its relaxed geometry, as listed in the Alexandria database.

Properties
The energy of formation comes out at 0.456 eV/atom. As for the density of states at the Fermi level: 9.7 states/eV per cell.

abc: 3.1436 3.1436 27.2403
angles: 90.00 90.00 120.00
Space group R3m (No. 160, hexagonal axes)
Unique sites:
Ta: 0.0000 0.0000 0.0000 [3 per cell]
Ta: 0.0000 0.0000 0.2512 [3 per cell]
Mn: 0.0000 0.0000 0.7362 [3 per cell]
Pb: 0.0000 0.0000 0.4906 [3 per cell]



(2)
First-principles (PBE) data for crystalline Ca3TiSe at its relaxed geometry, as listed in the Alexandria database.

Properties
Its energy relative to the elements, uncorrected is 0.52 eV/atom. As for the density of states at the Fermi level: 4.6 states/eV per cell.

abc: 5.7214 5.7214 5.7214
angles: 90.00 90.00 90.00
Space group Pm-3m (No. 221)
Unique sites:
Ca: 0.0000 0.0000 0.5000 [3 per cell]
Ti: 0.0000 0.0000 0.0000 [1 per cell]
Se: 0.5000 0.5000 0.5000 [1 per cell]



(3)
First-principles (PBE) data for crystalline TmNpSnO6 at its relaxed geometry, as listed in the Alexandria database.

Properties
Its energy relative to the elements, uncorrected is -2.55 eV/atom. As for the density of states at the Fermi level: 9.1 states/eV per cell.

abc: 5.6014 5.6014 9.0690
angles: 90.00 90.00 120.00
Space group P-31c (No. 163)
Unique sites:
Tm: 0.3333 0.6667 0.2500 [2 per cell]
Np: 0.3333 0.6667 0.7500 [2 per cell]
Sn: 0.0000 0.0000 0.0000 [2 per cell]
O: 0.0142 0.3325 0.6275 [12 per cell]



(4)
First-principles (PBE) data for crystalline Pr5Al4Ag at its relaxed geometry, as listed in the Alexandria database.

Properties
The energy of formation comes out at -0.322 eV/atom. As for the density of states at the Fermi level: 5.5 states/eV per cell.

abc: 3.7256 3.7256 19.1915
angles: 90.00 90.00 90.00
Space group P4/mmm (No. 123)
Unique sites:
Pr: 0.0000 0.0000 0.0000 [1 per cell]
Pr: 0.0000 0.0000 0.1974 [2 per cell]
Pr: 0.0000 0.0000 0.3955 [2 per cell]
Al: 0.5000 0.5000 0.0988 [2 per cell]
Al: 0.5000 0.5000 0.2989 [2 per cell]
Ag: 0.5000 0.5000 0.5000 [1 per cell]



(5)
First-principles (PBE) data for crystalline TmBeB2Ru at its relaxed geometry, as listed in the Alexandria database.

Properties
The energy of formation comes out at -0.361 eV/atom. As for the density of states at the Fermi level: 8.9 states/eV per cell.

abc: 3.5100 3.5100 9.4015
angles: 90.00 90.00 90.00
Space group I-4m2 (No. 119)
Unique sites:
Tm: 0.0000 0.0000 0.0000 [2 per cell]
Be: 0.0000 0.5000 0.7500 [2 per cell]
B: 0.0000 0.0000 0.3945 [4 per cell]
Ru: 0.0000 0.5000 0.2500 [2 per cell]



(6)
First-principles (PBE) data for crystalline Ba2PmSnS5 at its relaxed geometry, as listed in the Alexandria database.

Properties
Its energy relative to the elements, uncorrected is -1.61 eV/atom. As for the density of states at the Fermi level: 5.7 states/eV per cell.

abc: 4.4228 18.1542 12.8285
angles: 90.00 90.00 90.00
Space group Cmc2_1 (No. 36)
Unique sites:
Ba: 0.0000 0.1131 0.0000 [4 per cell]
Ba: 0.0000 0.1318 0.6292 [4 per cell]
Pm: 0.0000 0.2132 0.3363 [4 per cell]
Sn: 0.0000 0.4541 0.7699 [4 per cell]
S: 0.0000 0.0507 0.3666 [4 per cell]
S: 0.0000 0.2878 0.9763 [4 per cell]
S: 0.0000 0.3182 0.6923 [4 per cell]
S: 0.0000 0.3616 0.3180 [4 per cell]
S: 0.0000 0.4957 0.0907 [4 per cell]



(7)
First-principles (PBE) data for crystalline Pm4YPd2 at its relaxed geometry, as listed in the Alexandria database.

Properties
The energy of formation comes out at -0.379 eV/atom. As for the density of states at the Fermi level: 17.9 states/eV per cell.

abc: 8.0044 6.4923 8.3060
angles: 90.00 113.39 90.00
Space group P2_1/m (No. 11)
Unique sites:
Pm: 0.0183 0.2500 0.3905 [2 per cell]
Pm: 0.2452 0.7500 0.3467 [2 per cell]
Pm: 0.4080 0.0069 0.7744 [4 per cell]
Y: 0.1572 0.2500 0.0302 [2 per cell]
Pd: 0.2221 0.7500 0.9901 [2 per cell]
Pd: 0.3787 0.2500 0.4122 [2 per cell]



(8)
First-principles (PBE) data for crystalline Sr4Np3N10 at its relaxed geometry, as listed in the Alexandria database.

Properties
Its energy relative to the elements, uncorrected is -0.91 eV/atom. As for the density of states at the Fermi level: 9.6 states/eV per cell.

abc: 4.2399 4.2399 29.7435
angles: 90.00 90.00 90.00
Space group I4/mmm (No. 139)
Unique sites:
Sr: 0.0000 0.0000 0.0709 [4 per cell]
Sr: 0.0000 0.0000 0.2045 [4 per cell]
Np: 0.0000 0.0000 0.3585 [4 per cell]
Np: 0.0000 0.0000 0.5000 [2 per cell]
N: 0.0000 0.0000 0.2917 [4 per cell]
N: 0.0000 0.0000 0.4302 [4 per cell]
N: 0.0000 0.5000 0.0000 [4 per cell]
N: 0.0000 0.5000 0.1399 [8 per cell]



(9)
First-principles (PBE) data for crystalline C3SeF at its relaxed geometry, as listed in the Alexandria database.

Properties
Its energy relative to the elements, uncorrected is 3.31 eV/atom. As for the density of states at the Fermi level: 2.7 states/eV per cell.

abc: 3.8594 3.8594 3.8594
angles: 90.00 90.00 90.00
Space group Pm-3m (No. 221)
Unique sites:
C: 0.0000 0.0000 0.5000 [3 per cell]
Se: 0.5000 0.5000 0.5000 [1 per cell]
F: 0.0000 0.0000 0.0000 [1 per cell]



(10)
First-principles (PBE) data for crystalline CaHf2NpO8 at its relaxed geometry, as listed in the Alexandria database.

Properties
Its energy relative to the elements, uncorrected is -3.20 eV/atom.

abc: 7.0109 7.1126 6.6322
angles: 90.00 90.00 90.00
Space group Cmmm (No. 65)
Unique sites:
Ca: 0.0000 0.0000 0.0000 [2 per cell]
Hf: 0.0000 0.5000 0.2420 [4 per cell]
Np: 0.0000 0.0000 0.5000 [2 per cell]
O: 0.0000 0.3050 0.5000 [4 per cell]
O: 0.0000 0.3220 0.0000 [4 per cell]
O: 0.2018 0.0000 0.2777 [8 per cell]



(11)
First-principles (PBE) data for crystalline Sc3Se at its relaxed geometry, as listed in the Alexandria database.

Properties
Its energy relative to the elements, uncorrected is -0.60 eV/atom. As for the density of states at the Fermi level: 12.6 states/eV per cell.

abc: 3.9226 5.4296 8.6320
angles: 90.00 90.00 90.00
Space group Cmmm (No. 65)
Unique sites:
Sc: 0.0000 0.0000 0.0000 [2 per cell]
Sc: 0.0000 0.5000 0.2881 [4 per cell]
Se: 0.0000 0.0000 0.5000 [2 per cell]



(12)
First-principles (PBE) data for crystalline TbPr2NdSe5 at its relaxed geometry, as listed in the Alexandria database.

Properties
Its energy relative to the elements, uncorrected is -1.29 eV/atom. As for the density of states at the Fermi level: 5.8 states/eV per cell.

abc: 5.1697 5.1697 11.0230
angles: 90.00 90.00 90.00
Space group P4/mmm (No. 123)
Unique sites:
Tb: 0.0000 0.0000 0.0000 [1 per cell]
Pr: 0.5000 0.5000 0.1725 [2 per cell]
Nd: 0.0000 0.0000 0.5000 [1 per cell]
Se: 0.0000 0.0000 0.2503 [2 per cell]
Se: 0.0000 0.5000 0.0000 [2 per cell]
Se: 0.5000 0.5000 0.5000 [1 per cell]



(13)
First-principles (PBE) data for crystalline NbInFe2Sb at its relaxed geometry, as listed in the Alexandria database.

Properties
Its energy relative to the elements, uncorrected is 1.96 eV/atom. As for the density of states at the Fermi level: 10.3 states/eV per cell.

abc: 4.6004 4.6004 5.3468
angles: 90.00 90.00 90.00
Space group P4/mmm (No. 123)
Unique sites:
Nb: 0.0000 0.0000 0.0000 [1 per cell]
In: 0.5000 0.5000 0.5000 [1 per cell]
Fe: 0.0000 0.5000 0.5000 [2 per cell]
Sb: 0.5000 0.5000 0.0000 [1 per cell]



(14)
First-principles (PBE) data for crystalline TbEr2Cd2In2 at its relaxed geometry, as listed in the Alexandria database.

Properties
The energy of formation comes out at -0.239 eV/atom. As for the density of states at the Fermi level: 12.0 states/eV per cell.

abc: 4.9340 4.9340 26.5898
angles: 90.00 90.00 120.00
Space group R-3m (No. 166, hexagonal axes)
Unique sites:
Tb: 0.0000 0.0000 0.0000 [3 per cell]
Er: 0.0000 0.0000 0.1284 [6 per cell]
Cd: 0.0000 0.0000 0.3971 [6 per cell]
In: 0.0000 0.0000 0.2579 [6 per cell]



(15)
First-principles (PBE) data for crystalline TmGa4PdRh2 at its relaxed geometry, as listed in the Alexandria database.

Properties
The energy of formation comes out at -0.638 eV/atom. As for the density of states at the Fermi level: 17.1 states/eV per cell.

abc: 4.2649 4.2649 25.3033
angles: 90.00 90.00 120.00
Space group R-3m (No. 166, hexagonal axes)
Unique sites:
Tm: 0.0000 0.0000 0.0000 [3 per cell]
Ga: 0.0000 0.0000 0.1287 [6 per cell]
Ga: 0.0000 0.0000 0.3958 [6 per cell]
Pd: 0.0000 0.0000 0.5000 [3 per cell]
Rh: 0.0000 0.0000 0.2362 [6 per cell]



(16)
First-principles (PBE) data for crystalline ScInTe3 at its relaxed geometry, as listed in the Alexandria database.

Properties
Its energy relative to the elements, uncorrected is -0.62 eV/atom.

abc: 7.0261 7.7361 13.8641
angles: 90.00 113.20 90.00
Space group P2_1/c (No. 14)
Unique sites:
Sc: 0.1860 0.1808 0.2490 [4 per cell]
In: 0.1602 0.6253 0.1056 [4 per cell]
Te: 0.0855 0.0931 0.8914 [4 per cell]
Te: 0.1762 0.6161 0.9002 [4 per cell]
Te: 0.4798 0.0141 0.7775 [4 per cell]



(17)
First-principles (PBE) data for crystalline Na2MgGe2 at its relaxed geometry, as listed in the Alexandria database.

Properties
The energy of formation comes out at 0.035 eV/atom. As for the density of states at the Fermi level: 2.4 states/eV per cell.

abc: 4.2035 4.2035 13.1892
angles: 90.00 90.00 90.00
Space group I4/mmm (No. 139)
Unique sites:
Na: 0.0000 0.5000 0.2500 [4 per cell]
Mg: 0.0000 0.0000 0.0000 [2 per cell]
Ge: 0.0000 0.0000 0.4111 [4 per cell]



(18)
First-principles (PBE) data for crystalline LiTi2NbZn at its relaxed geometry, as listed in the Alexandria database.

Properties
The energy of formation comes out at 0.998 eV/atom. As for the density of states at the Fermi level: 5.3 states/eV per cell.

abc: 4.7042 4.7042 4.9299
angles: 90.00 90.00 90.00
Space group P4/mmm (No. 123)
Unique sites:
Li: 0.0000 0.0000 0.0000 [1 per cell]
Ti: 0.0000 0.5000 0.5000 [2 per cell]
Nb: 0.0000 0.0000 0.5000 [1 per cell]
Zn: 0.5000 0.5000 0.0000 [1 per cell]



(19)
First-principles (PBE) data for crystalline Pm2In5Cu3 at its relaxed geometry, as listed in the Alexandria database.

Properties
The energy of formation comes out at -0.303 eV/atom. As for the density of states at the Fermi level: 17.7 states/eV per cell.

abc: 4.5432 26.2525 7.3297
angles: 90.00 90.00 90.00
Space group Cmc2_1 (No. 36)
Unique sites:
Pm: 0.0000 0.0200 0.0000 [4 per cell]
Pm: 0.0000 0.3269 0.0384 [4 per cell]
In: 0.0000 0.0985 0.3524 [4 per cell]
In: 0.0000 0.2049 0.8381 [4 per cell]
In: 0.0000 0.2100 0.2451 [4 per cell]
In: 0.0000 0.3774 0.5162 [4 per cell]
In: 0.0000 0.4484 0.1775 [4 per cell]
Cu: 0.0000 0.1071 0.7314 [4 per cell]
Cu: 0.0000 0.2731 0.5443 [4 per cell]
Cu: 0.0000 0.4528 0.7874 [4 per cell]



(20)
First-principles (PBE) data for crystalline CdGa2GeSe6 at its relaxed geometry, as listed in the Alexandria database.

Properties
Its energy relative to the elements, uncorrected is -0.38 eV/atom.

abc: 13.6765 13.8897 7.0170
angles: 90.00 117.28 90.00
Space group C2/c (No. 15)
Unique sites:
Cd: 0.0000 0.2425 0.2500 [4 per cell]
Ga: 0.2075 0.4310 0.2015 [8 per cell]
Ge: 0.0000 0.1961 0.7500 [4 per cell]
Se: 0.0919 0.1051 0.5874 [8 per cell]
Se: 0.1409 0.2615 0.0840 [8 per cell]
Se: 0.1556 0.4282 0.4877 [8 per cell]



(21)
First-principles (PBE) data for crystalline CePdRh at its relaxed geometry, as listed in the Alexandria database.

Properties
The energy of formation comes out at -0.691 eV/atom. As for the density of states at the Fermi level: 12.5 states/eV per cell.

abc: 3.9349 13.8243 4.1360
angles: 90.00 90.00 90.00
Space group Cmcm (No. 63)
Unique sites:
Ce: 0.0000 0.0969 0.2500 [4 per cell]
Pd: 0.0000 0.2463 0.7500 [4 per cell]
Rh: 0.0000 0.4163 0.2500 [4 per cell]



(22)
First-principles (PBE) data for crystalline HoZn6Au4 at its relaxed geometry, as listed in the Alexandria database.

Properties
The energy of formation comes out at -0.338 eV/atom. As for the density of states at the Fermi level: 4.8 states/eV per cell.

abc: 7.5050 7.5050 4.0901
angles: 90.00 90.00 120.00
Space group P-6m2 (No. 187)
Unique sites:
Ho: 0.0000 0.0000 0.0000 [1 per cell]
Zn: 0.0774 0.5387 0.0000 [3 per cell]
Zn: 0.4085 0.2042 0.5000 [3 per cell]
Au: 0.1905 0.3810 0.5000 [3 per cell]
Au: 0.6667 0.3333 0.0000 [1 per cell]



Here are the calculated E numbers, same order: -8.690, -2.957, -8.235, -4.494, -6.527, -5.302, -5.501, -8.490, -3.291, -9.408, -6.221, -5.336, -4.810, -3.248, -5.197, -4.318, -2.658, -4.811, -3.851, -3.633, -6.851, -2.641 (eV per atom).